[1]
# Hg2SbI8 PBE-GGA relaxed
# Calculated density: 4.770 g/cm³
# Magnetization: 0.00 μB per cell
# Formation energy (no corrections): -0.207 eV per atom
# Crystal system: monoclinic
# VASP energy: -1.764 eV/atom
data_Hg2SbI8
_chemical_formula_sum 'Hg4 Sb2 I16'
_space_group_name_H-M_alt 'C 1 2/m 1'
_space_group_IT_number 12
_cell_length_a 16.219
_cell_length_b 9.050
_cell_length_c 7.347
_cell_angle_alpha 90.00
_cell_angle_beta 96.72
_cell_angle_gamma 90.00
loop_
_space_group_symop_operation_xyz
'x,y,z'
'-x,-y,-z'
'-x,y,-z'
'x,-y,z'
'x+1/2,y+1/2,z'
'-x+1/2,-y+1/2,-z'
'-x+1/2,y+1/2,-z'
'x+1/2,-y+1/2,z'
loop_
_atom_site_label
_atom_site_fract_x
_atom_site_fract_y
_atom_site_fract_z
Hg1 0.170 0.000 0.457
Sb1 0.000 0.000 0.000
I1 0.070 0.235 0.261
I2 0.166 0.000 0.843
I3 0.167 0.500 0.619

[2]
# Hg3SbI3 PBE-GGA relaxed
# Calculated density: 5.610 g/cm³
# Magnetization: 0.00 μB per cell
# Formation energy (no corrections): -0.080 eV per atom
# Crystal system: hexagonal
# VASP energy: -1.463 eV/atom
data_Hg3SbI3
_chemical_formula_sum 'Hg6 Sb2 I6'
_space_group_name_H-M_alt 'P 63/m'
_space_group_IT_number 176
_space_group_name_Hall '-P 6c'
_cell_length_a 13.5062
_cell_length_b 13.5062
_cell_length_c 4.1381
_cell_angle_alpha 90.00
_cell_angle_beta 90.00
_cell_angle_gamma 120.00
loop_
_atom_site_label
_atom_site_fract_x
_atom_site_fract_y
_atom_site_fract_z
Hg1 0.1373 0.6847 0.2500
Sb1 0.3333 0.6667 0.2500
I1 0.0303 0.3421 0.2500

[3]
# Hg3Sb5I12 PBE-GGA relaxed
# Calculated density: 4.152 g/cm³
# Magnetization: 0.00 μB per cell
# Formation energy (no corrections): -0.070 eV per atom
# Crystal system: cubic
# VASP energy: -2.076 eV/atom
data_Hg3Sb5I12
_chemical_formula_sum 'Hg24 Sb40 I96'
_space_group_name_H-M_alt 'I a -3 d'
_space_group_IT_number 230
_space_group_name_Hall '-I 4bd 2c 3'
_cell_length_a 20.603
_cell_length_b 20.603
_cell_length_c 20.603
_cell_angle_alpha 90.00
_cell_angle_beta 90.00
_cell_angle_gamma 90.00
loop_
_atom_site_label
_atom_site_fract_x
_atom_site_fract_y
_atom_site_fract_z
Hg1 0.000 0.250 0.125
Sb1 0.000 0.000 0.000
Sb2 0.000 0.250 0.375
I1 0.037 0.141 0.961

[4]
# HgSbI5 PBE-GGA relaxed
# Calculated density: 4.636 g/cm³
# Magnetization: 0.00 μB per cell
# Formation energy (no corrections): -0.262 eV per atom
# Crystal system: monoclinic
# VASP energy: -2.001 eV/atom
data_HgSbI5
_chemical_formula_sum 'Hg4 Sb4 I20'
_space_group_name_H-M_alt 'C 1 2/c 1'
_space_group_IT_number 15
_cell_length_a 11.600
_cell_length_b 11.709
_cell_length_c 11.609
_cell_angle_alpha 90.00
_cell_angle_beta 119.60
_cell_angle_gamma 90.00
loop_
_space_group_symop_operation_xyz
'x,y,z'
'-x,-y,-z'
'-x,y,-z+1/2'
'x,-y,z+1/2'
'x+1/2,y+1/2,z'
'-x+1/2,-y+1/2,-z'
'-x+1/2,y+1/2,-z+1/2'
'x+1/2,-y+1/2,z+1/2'
loop_
_atom_site_label
_atom_site_fract_x
_atom_site_fract_y
_atom_site_fract_z
Hg1 0.000 0.111 0.250
Sb1 0.250 0.250 0.000
I1 0.000 0.328 0.750
I2 0.111 0.293 0.160
I3 0.196 0.007 0.484